The following is a DFT calculation (GGA-PBE) of an optimized crystal structure of ZnNi3Hg.

Cell and atoms, written as CIF:
```
data_ZnNi3Hg
_chemical_formula_sum 'Zn1 Ni3 Hg1'
_cell_length_a 4.359
_cell_length_b 4.359
_cell_length_c 4.359
_cell_angle_alpha 90.00
_cell_angle_beta 90.00
_cell_angle_gamma 90.00
_symmetry_space_group_name_H-M 'P m -3 m'
_symmetry_Int_Tables_number 221
_symmetry_space_group_name_Hall '-P 4 2 3'
loop_
_atom_site_label
_atom_site_type_symbol
_atom_site_fract_x
_atom_site_fract_y
_atom_site_fract_z
Zn1 Zn 0.000 0.000 0.000
Ni1 Ni 0.000 0.000 0.500
Hg1 Hg 0.500 0.500 0.500
```

Calculated values
ΔE_f in meV/atom: 743
E in eV per atom: -3.041
Magnetic moment in μB per cell: 0.0
D(E_F) in states/eV/cell: 0.3


The following is a DFT calculation (GGA-PBE) of an optimized crystal structure of KSb2Br.

Cell and atoms, written as CIF:
```
data_KSb2Br
_chemical_formula_sum 'K2 Sb4 Br2'
_cell_length_a 5.916
_cell_length_b 15.014
_cell_length_c 3.212
_cell_angle_alpha 90.00
_cell_angle_beta 90.00
_cell_angle_gamma 90.00
_symmetry_space_group_name_H-M 'C m m m'
_symmetry_Int_Tables_number 65
_symmetry_space_group_name_Hall '-C 2 2'
loop_
_atom_site_label
_atom_site_type_symbol
_atom_site_fract_x
_atom_site_fract_y
_atom_site_fract_z
K1 K 0.000 0.000 0.000
Sb1 Sb 0.250 0.250 0.500
Br1 Br 0.000 0.500 0.000
```

Calculated values
E in eV per atom: -2.967
Magnetic moment in μB per cell: 0.0
E_form (uncorrected) in eV per atom: -0.213
D(E_F) in states/eV/cell: 3.9


The following is a DFT calculation (GGA-PBE) of an optimized crystal structure of K3PtI6.

Cell and atoms, written as CIF:
```
data_K3PtI6
_chemical_formula_sum 'K18 Pt6 I36'
_cell_length_a 12.8212
_cell_length_b 12.8212
_cell_length_c 17.1987
_cell_angle_alpha 90.00
_cell_angle_beta 90.00
_cell_angle_gamma 120.00
_symmetry_space_group_name_H-M 'R -3'
_symmetry_Int_Tables_number 148
_symmetry_space_group_name_Hall '-R 3'
loop_
_atom_site_label
_atom_site_type_symbol
_atom_site_fract_x
_atom_site_fract_y
_atom_site_fract_z
K1 K 0.0658 0.4953 0.3899
Pt1 Pt 0.0000 0.0000 0.0000
Pt2 Pt 0.0000 0.0000 0.5000
I1 I 0.0612 0.8650 0.0974
I2 I 0.0828 0.2049 0.4058
```

Calculated values
E in eV per atom: -2.722
Magnetic moment in μB per cell: 3.1
E_form (uncorrected) in eV per atom: -0.859
D(E_F) in states/eV/cell: 28.0


The following is a DFT calculation (GGA-PBE) of an optimized crystal structure of NdHo2ScSe6.

Cell and atoms, written as CIF:
```
data_NdHo2ScSe6
_chemical_formula_sum 'Nd3 Ho6 Sc3 Se18'
_cell_length_a 7.1581
_cell_length_b 7.1581
_cell_length_c 19.2983
_cell_angle_alpha 90.00
_cell_angle_beta 90.00
_cell_angle_gamma 120.00
_symmetry_space_group_name_H-M 'R 3'
_symmetry_Int_Tables_number 146
_symmetry_space_group_name_Hall 'R 3'
loop_
_atom_site_label
_atom_site_type_symbol
_atom_site_fract_x
_atom_site_fract_y
_atom_site_fract_z
Nd1 Nd 0.0000 0.0000 0.0000
Ho1 Ho 0.0000 0.0000 0.2973
Ho2 Ho 0.0000 0.0000 0.8029
Sc1 Sc 0.0000 0.0000 0.4923
Se1 Se 0.0137 0.7128 0.3997
Se2 Se 0.0247 0.3432 0.5630
```

Calculated values
E in eV per atom: -5.902
Magnetic moment in μB per cell: 0.0
E_form (uncorrected) in eV per atom: -1.785
D(E_F) in states/eV/cell: 0.0


The following is a DFT calculation (GGA-PBE) of an optimized crystal structure of ZnCuMo.

Cell and atoms, written as CIF:
```
data_ZnCuMo
_chemical_formula_sum 'Zn1 Cu1 Mo1'
_cell_length_a 2.7118
_cell_length_b 2.7118
_cell_length_c 6.7122
_cell_angle_alpha 90.00
_cell_angle_beta 90.00
_cell_angle_gamma 120.00
_symmetry_space_group_name_H-M 'P 3 m 1'
_symmetry_Int_Tables_number 156
loop_
_symmetry_equiv_pos_as_xyz
'x,y,z'
'-y,x-y,z'
'-x+y,-x,z'
'-y,-x,z'
'-x+y,y,z'
'x,x-y,z'
loop_
_atom_site_label
_atom_site_type_symbol
_atom_site_fract_x
_atom_site_fract_y
_atom_site_fract_z
Zn1 Zn 0.0000 0.0000 0.0000
Cu1 Cu 0.6667 0.3333 0.3148
Mo1 Mo 0.3333 0.6667 0.6482
```

Calculated values
ΔE_f in meV/atom: 191
E in eV per atom: -5.210
Magnetic moment in μB per cell: 0.0
D(E_F) in states/eV/cell: 2.9


The following is a DFT calculation (GGA-PBE) of an optimized crystal structure of Er6HC2S3.

Cell and atoms, written as CIF:
```
data_Er6HC2S3
_chemical_formula_sum 'Er12 H2 C4 S6'
_cell_length_a 16.227
_cell_length_b 3.694
_cell_length_c 7.554
_cell_angle_alpha 90.00
_cell_angle_beta 104.97
_cell_angle_gamma 90.00
_symmetry_space_group_name_H-M 'C 1 2/m 1'
_symmetry_Int_Tables_number 12
loop_
_symmetry_equiv_pos_as_xyz
'x,y,z'
'-x,-y,-z'
'-x,y,-z'
'x,-y,z'
'x+1/2,y+1/2,z'
'-x+1/2,-y+1/2,-z'
'-x+1/2,y+1/2,-z'
'x+1/2,-y+1/2,z'
loop_
_atom_site_label
_atom_site_type_symbol
_atom_site_fract_x
_atom_site_fract_y
_atom_site_fract_z
Er1 Er 0.012 0.000 0.257
Er2 Er 0.165 0.500 0.113
Er3 Er 0.175 0.500 0.563
H1 H 0.000 0.500 0.000
C1 C 0.164 0.000 0.330
S1 S 0.000 0.500 0.500
S2 S 0.164 0.000 0.834
```

Calculated values
E in eV per atom: -6.396
Magnetic moment in μB per cell: 0.0
D(E_F) in states/eV/cell: 5.4


The following is a DFT calculation (GGA-PBE) of an optimized crystal structure of LiAcSiGe2.

Cell and atoms, written as CIF:
```
data_LiAcSiGe2
_chemical_formula_sum 'Li2 Ac2 Si2 Ge4'
_cell_length_a 4.344
_cell_length_b 4.344
_cell_length_c 11.339
_cell_angle_alpha 90.00
_cell_angle_beta 90.00
_cell_angle_gamma 90.00
_symmetry_space_group_name_H-M 'I -4 m 2'
_symmetry_Int_Tables_number 119
_symmetry_space_group_name_Hall 'I -4 -2'
loop_
_atom_site_label
_atom_site_type_symbol
_atom_site_fract_x
_atom_site_fract_y
_atom_site_fract_z
Li1 Li 0.000 0.000 0.000
Ac1 Ac 0.000 0.500 0.750
Si1 Si 0.000 0.000 0.500
Ge1 Ge 0.000 0.500 0.128
```

Calculated values
E in eV per atom: -4.550
Magnetic moment in μB per cell: 0.0
E_form (uncorrected) in eV per atom: -0.414
D(E_F) in states/eV/cell: 3.3


The following is a DFT calculation (GGA-PBE) of an optimized crystal structure of CoRe2Si.

Cell and atoms, written as CIF:
```
data_CoRe2Si
_chemical_formula_sum 'Co2 Re4 Si2'
_cell_length_a 2.932
_cell_length_b 4.363
_cell_length_c 8.467
_cell_angle_alpha 90.00
_cell_angle_beta 90.00
_cell_angle_gamma 90.00
_symmetry_space_group_name_H-M 'I m m m'
_symmetry_Int_Tables_number 71
_symmetry_space_group_name_Hall '-I 2 2'
loop_
_atom_site_label
_atom_site_type_symbol
_atom_site_fract_x
_atom_site_fract_y
_atom_site_fract_z
Co1 Co 0.000 0.000 0.000
Re1 Re 0.000 0.500 0.234
Si1 Si 0.000 0.000 0.500
```

Calculated values
E in eV per atom: -9.295
Magnetic moment in μB per cell: 2.5
E_form (uncorrected) in eV per atom: 0.061
D(E_F) in states/eV/cell: 6.1


What did the second record say?
The following is a DFT calculation (GGA-PBE) of an optimized crystal structure of KSb2Br.

Cell and atoms, written as CIF:
```
data_KSb2Br
_chemical_formula_sum 'K2 Sb4 Br2'
_cell_length_a 5.916
_cell_length_b 15.014
_cell_length_c 3.212
_cell_angle_alpha 90.00
_cell_angle_beta 90.00
_cell_angle_gamma 90.00
_symmetry_space_group_name_H-M 'C m m m'
_symmetry_Int_Tables_number 65
_symmetry_space_group_name_Hall '-C 2 2'
loop_
_atom_site_label
_atom_site_type_symbol
_atom_site_fract_x
_atom_site_fract_y
_atom_site_fract_z
K1 K 0.000 0.000 0.000
Sb1 Sb 0.250 0.250 0.500
Br1 Br 0.000 0.500 0.000
```

Calculated values
E in eV per atom: -2.967
Magnetic moment in μB per cell: 0.0
E_form (uncorrected) in eV per atom: -0.213
D(E_F) in states/eV/cell: 3.9


Look up the magnetic moment of the sixth one.
0.0 μB per cell